# SrScRu2

A geometry-optimized SrScRu2 structure (PBE-GGA, Alexandria via LeMat-Bulk).

Calculated values
The total DFT energy (no corrections) is -6.145 eV per atom.

Unit cell a=3.3962 b=5.1201 c=4.4266 alpha=90.00 beta=90.00 gamma=90.00
Last column: nearest neighbours and their distance in Å.
Atoms (fractional coordinates):
Ru 0.0000 0.0000 0.0000  4 Sc 2.79, 4 Ru 3.07
Ru 0.5000 0.5000 0.0000  4 Sr 2.79, 4 Ru 3.07
Sc 0.5000 0.0000 0.5000  4 Ru 2.79, 4 Sr 3.07
Sr 0.0000 0.5000 0.5000  4 Ru 2.79, 4 Sc 3.07


# SrScRu

A geometry-optimized SrScRu structure (PBE-GGA, Alexandria via LeMat-Bulk).

Calculated values
The total DFT energy (no corrections) is -5.494 eV per atom.

Unit cell a=4.7854 b=4.7854 c=4.7854 alpha=60.00 beta=60.00 gamma=60.00
Last column: nearest neighbours and their distance in Å.
Atoms (fractional coordinates):
Sc 0.0000 0.0000 0.0000  4 Ru 2.93
Ru 0.7500 0.7500 0.7500  4 Sc 2.93, 4 Sr 2.93
Sr 0.5000 0.5000 0.5000  4 Ru 2.93


# SrSc2Ru2

A geometry-optimized SrSc2Ru2 structure (PBE-GGA, Alexandria via LeMat-Bulk).

Calculated values
The total DFT energy (no corrections) is -6.728 eV per atom.

Unit cell a=7.9666 b=7.9666 c=3.2264 alpha=90.00 beta=90.00 gamma=90.00
Last column: nearest neighbours and their distance in Å.
Atoms (fractional coordinates):
Sr 0.5000 0.5000 0.0000  4 Ru 3.05, 2 Sr 3.23
Sr 0.0000 0.0000 0.0000  4 Ru 3.05, 2 Sr 3.23
Ru 0.1468 0.3532 0.0000  6 Sc 2.78-2.91, 2 Sr 3.05
Ru 0.8532 0.6468 0.0000  6 Sc 2.78-2.91, 2 Sr 3.05
Ru 0.6468 0.1468 0.0000  6 Sc 2.78-2.91, 2 Sr 3.05
Ru 0.3532 0.8532 0.0000  6 Sc 2.78-2.91, 2 Sr 3.05
Sc 0.6378 0.8622 0.5000  6 Ru 2.78-2.91, 1 Sc 3.10
Sc 0.8622 0.3622 0.5000  6 Ru 2.78-2.91, 1 Sc 3.10
Sc 0.1378 0.6378 0.5000  6 Ru 2.78-2.91, 1 Sc 3.10
Sc 0.3622 0.1378 0.5000  6 Ru 2.78-2.91, 1 Sc 3.10


# Sr2ScRu

A geometry-optimized Sr2ScRu structure (PBE-GGA, Alexandria via LeMat-Bulk).

Calculated values
The total DFT energy (no corrections) is -4.115 eV per atom.

Unit cell a=5.3801 b=5.3801 c=5.3801 alpha=60.00 beta=60.00 gamma=60.00
Last column: nearest neighbours and their distance in Å.
Atoms (fractional coordinates):
Sc 0.5000 0.5000 0.5000  8 Sr 3.29
Sr 0.7500 0.7500 0.7500  4 Sc 3.29, 4 Ru 3.29
Sr 0.2500 0.2500 0.2500  4 Ru 3.29, 4 Sc 3.29
Ru 0.0000 0.0000 0.0000  8 Sr 3.29


# Sr2ScRu

A geometry-optimized Sr2ScRu structure (PBE-GGA, Alexandria via LeMat-Bulk).

Calculated values
The total DFT energy (no corrections) is -4.151 eV per atom.

Unit cell a=4.8358 b=3.7879 c=6.6581 alpha=67.66 beta=90.00 gamma=90.00
Last column: nearest neighbours and their distance in Å.
Atoms (fractional coordinates):
Sr 0.0000 0.4207 0.4727  2 Ru 3.03, 1 Sr 3.07
Sr 0.0000 0.0793 0.0273  2 Ru 3.03, 1 Sr 3.07
Sc 0.5000 0.7500 0.7500  2 Ru 3.14, 4 Sr 3.48
Ru 0.5000 0.2500 0.2500  4 Sr 3.03, 2 Sc 3.14


# SrScRu2

A geometry-optimized SrScRu2 structure (PBE-GGA, Alexandria via LeMat-Bulk).

Calculated values
The total DFT energy (no corrections) is -6.238 eV per atom.

Unit cell a=5.4173 b=5.4173 c=5.4173 alpha=144.23 beta=121.98 gamma=70.06
Last column: nearest neighbours and their distance in Å.
Atoms (fractional coordinates):
Sc 0.7500 0.2500 0.5000  4 Ru 2.66
Ru 0.5161 0.5161 0.0000  2 Sc 2.66, 2 Sr 2.89
Ru 0.9839 0.9839 0.0000  2 Sc 2.66, 2 Sr 2.89
Sr 0.2500 0.7500 0.5000  4 Ru 2.89, 4 Sc 3.11


Ordered DFT formation energy results: 0.496; 0.269; -0.149; 0.628; 0.592; 0.403; unit eV/atom.
Ordered density results: 7.2; 5.0; 6.2; 4.8; 4.7; 7.2; unit g/cm³.